Entry 1:
{
  "formula": "Ge2As2Au",
  "functional": "GGA-PBE",
  "state": "relaxed",
  "cell": [[-2.175, 2.175, 5.875], [2.175, -2.175, 5.875], [2.175, 2.175, -5.875]],
  "species": ["Ge", "Ge", "As", "As", "Au"],
  "frac_coords": [[0.250, 0.750, 0.500], [0.750, 0.250, 0.500], [0.121, 0.121, 0.000], [0.879, 0.879, 0.000], [0.500, 0.500, 0.000]],
  "formation_enthalpy_0k_ev_per_atom": 0.3675
}

---

Entry 2:
{
  "formula": "Ge2AsAu",
  "functional": "GGA-PBE",
  "state": "relaxed",
  "cell": [[1.881, 1.086, 6.731], [-1.881, 1.086, 6.731], [0.000, -2.172, 6.731]],
  "species": ["Ge", "Ge", "As", "Au"],
  "frac_coords": [[0.000, 0.000, 0.000], [0.170, 0.170, 0.170], [0.575, 0.575, 0.575], [0.410, 0.410, 0.410]],
  "formation_enthalpy_0k_ev_per_atom": 0.1267
}

---

Entry 3:
{
  "formula": "Ge2As3Au",
  "functional": "GGA-PBE",
  "state": "relaxed",
  "cell": [[6.666, -6.624, 0.000], [6.666, 6.624, 0.000], [0.000, 0.000, 4.119]],
  "species": ["Ge", "Ge", "Ge", "Ge", "As", "As", "As", "As", "As", "As", "Au", "Au"],
  "frac_coords": [[0.074, 0.600, 0.750], [0.400, 0.926, 0.750], [0.600, 0.074, 0.250], [0.926, 0.400, 0.250], [0.068, 0.331, 0.750], [0.331, 0.068, 0.250], [0.331, 0.669, 0.750], [0.669, 0.331, 0.250], [0.669, 0.932, 0.750], [0.932, 0.669, 0.250], [0.433, 0.567, 0.250], [0.567, 0.433, 0.750]],
  "formation_enthalpy_0k_ev_per_atom": 0.0958
}

---

Entry 4:
{
  "formula": "GeAsAu2",
  "functional": "GGA-PBE",
  "state": "relaxed",
  "cell": [[0.000, 3.357, 3.357], [3.357, 0.000, 3.357], [3.357, 3.357, 0.000]],
  "species": ["Ge", "As", "Au", "Au"],
  "frac_coords": [[0.000, 0.000, 0.000], [0.500, 0.500, 0.500], [0.250, 0.250, 0.250], [0.750, 0.750, 0.750]],
  "formation_enthalpy_0k_ev_per_atom": 0.1803
}

---

Entry 5:
{
  "formula": "Ge2AsHAu",
  "functional": "GGA-PBE",
  "state": "relaxed",
  "cell": [[5.128, 0.000, 0.000], [0.000, 5.128, 0.000], [0.000, 0.000, 3.419]],
  "species": ["Ge", "Ge", "As", "H", "Au"],
  "frac_coords": [[0.000, 0.500, 0.000], [0.500, 0.000, 0.000], [0.000, 0.000, 0.500], [0.500, 0.500, 0.500], [0.500, 0.500, 0.000]],
  "energy_ev_per_cell": -18.96
}

---

Entry 6:
{
  "formula": "LiGeAsAu",
  "functional": "GGA-PBE",
  "state": "relaxed",
  "cell": [[0.000, 3.314, 3.314], [3.314, 0.000, 3.314], [3.314, 3.314, 0.000]],
  "species": ["Li", "Ge", "As", "Au"],
  "frac_coords": [[0.000, 0.000, 0.000], [0.500, 0.500, 0.500], [0.750, 0.750, 0.750], [0.250, 0.250, 0.250]],
  "formation_enthalpy_0k_ev_per_atom": -0.0971
}

---

Entry 7:
{
  "formula": "Na2GeAsAu",
  "functional": "GGA-PBE",
  "state": "relaxed",
  "cell": [[5.599, 0.000, 0.000], [0.000, 5.599, 0.000], [0.000, 0.000, 4.672]],
  "species": ["Na", "Na", "Ge", "As", "Au"],
  "frac_coords": [[0.000, 0.500, 0.000], [0.500, 0.000, 0.000], [0.000, 0.000, 0.000], [0.500, 0.500, 0.500], [0.000, 0.000, 0.500]],
  "formation_enthalpy_0k_ev_per_atom": 0.3493
}

---

Entry 8:
{
  "formula": "NiGe2AsAu",
  "functional": "GGA-PBE",
  "state": "relaxed",
  "cell": [[5.028, 0.000, 0.000], [0.000, 5.028, 0.000], [0.000, 0.000, 4.824]],
  "species": ["Ni", "Ge", "Ge", "As", "Au"],
  "frac_coords": [[0.000, 0.000, 0.000], [0.000, 0.500, 0.500], [0.500, 0.000, 0.500], [0.500, 0.500, 0.500], [0.500, 0.500, 0.000]],
  "formation_enthalpy_0k_ev_per_atom": 1.0334
}

---

Entry 9:
{
  "formula": "PmGeAsAu",
  "functional": "GGA-PBE",
  "state": "relaxed",
  "cell": [[0.000, 3.536, 3.536], [3.536, 0.000, 3.536], [3.536, 3.536, 0.000]],
  "species": ["Pm", "Ge", "As", "Au"],
  "frac_coords": [[0.000, 0.000, 0.000], [0.500, 0.500, 0.500], [0.750, 0.750, 0.750], [0.250, 0.250, 0.250]],
  "formation_enthalpy_0k_ev_per_atom": -0.4542
}

---

Entry 10:
{
  "formula": "GeAs2AuSe",
  "functional": "GGA-PBE",
  "state": "relaxed",
  "cell": [[4.988, 0.000, 0.000], [0.000, 4.988, 0.000], [0.000, 0.000, 5.223]],
  "species": ["Ge", "As", "As", "Au", "Se"],
  "frac_coords": [[0.000, 0.000, 0.000], [0.000, 0.500, 0.500], [0.500, 0.000, 0.500], [0.500, 0.500, 0.500], [0.500, 0.500, 0.000]],
  "raw_formation_energy_ev_per_atom": 0.8143
}

---

Entry 11:
{
  "formula": "GeAs2AuSe",
  "functional": "GGA-PBE",
  "state": "relaxed",
  "cell": [[4.958, 0.000, 0.000], [0.000, 4.958, 0.000], [0.000, 0.000, 4.909]],
  "species": ["Ge", "As", "As", "Au", "Se"],
  "frac_coords": [[0.000, 0.000, 0.000], [0.000, 0.500, 0.000], [0.500, 0.000, 0.000], [0.500, 0.500, 0.500], [0.000, 0.000, 0.500]],
  "raw_formation_energy_ev_per_atom": 0.8296
}

---

Entry 12:
{
  "formula": "SiGe2As4Au",
  "functional": "GGA-PBE",
  "state": "relaxed",
  "cell": [[0.000, 4.196, 5.571], [4.192, 0.000, 5.571], [4.192, 4.196, 0.000]],
  "species": ["Si", "Ge", "Ge", "As", "As", "As", "As", "Au"],
  "frac_coords": [[0.000, 0.000, 0.000], [0.250, 0.250, 0.250], [0.750, 0.750, 0.750], [0.120, 0.640, 0.360], [0.360, 0.881, 0.640], [0.640, 0.120, 0.880], [0.881, 0.360, 0.119], [0.500, 0.500, 0.500]],
  "raw_formation_energy_ev_per_atom": 0.0255
}

---

Entry 13:
{
  "formula": "Sn2GeAsAu",
  "functional": "GGA-PBE",
  "state": "relaxed",
  "cell": [[5.421, 0.000, 0.000], [0.000, 5.421, 0.000], [0.000, 0.000, 4.852]],
  "species": ["Sn", "Sn", "Ge", "As", "Au"],
  "frac_coords": [[0.000, 0.500, 0.000], [0.500, 0.000, 0.000], [0.000, 0.000, 0.500], [0.500, 0.500, 0.500], [0.000, 0.000, 0.000]],
  "formation_enthalpy_0k_ev_per_atom": 0.5098
}

---

Entry 14:
{
  "formula": "Sn2GeAsAu",
  "functional": "GGA-PBE",
  "state": "relaxed",
  "cell": [[5.454, 0.000, 0.000], [0.000, 5.454, 0.000], [0.000, 0.000, 4.888]],
  "species": ["Sn", "Sn", "Ge", "As", "Au"],
  "frac_coords": [[0.000, 0.500, 0.000], [0.500, 0.000, 0.000], [0.000, 0.000, 0.500], [0.000, 0.000, 0.000], [0.500, 0.500, 0.500]],
  "formation_enthalpy_0k_ev_per_atom": 0.6473
}

---

no.,DOS(E_F) (states/eV/f.u.)
1,2.4
2,1.7
3,0.8
4,1.8
5,2.0
6,1.8
7,4.2
8,3.3
9,2.5
10,4.8
11,3.5
12,2.3
13,3.0
14,3.4